VASP calculation (GGA+U) on an optimized crystal structure of CdCo2SbO6.

```
10
Lattice="5.216 0.000 0.001 2.608 4.518 0.001 2.608 1.506 4.861" Properties=species:S:1:pos:R:3 pbc="T T T"
O 3.673 2.744 3.740
O 4.208 4.530 1.088
O 4.406 1.379 1.088
O 6.220 1.809 3.741
O 5.756 4.483 3.740
O 7.035 3.126 1.088
Cd 7.825 4.518 2.960
Co 5.216 3.012 2.002
Co 2.608 1.506 4.769
Sb 2.608 1.506 0.167
```

Summary:
total magnetic moment = 2.9 μB per cell
crystal system = trigonal
SG = R3 (146)
E_tot = -56.57 eV per formula unit